A geometry-optimized Ba4Ti2Ag structure. Source: the Alexandria database, functional GGA-PBE.

a = 6.583 Å, b = 6.583 Å, c = 9.248 Å
α = 69.15°, β = 69.15°, γ = 90.00°
Each line ends with the local moment (μB).
Positions (direct):
1 Ag 0.000 0.000 0.000  0.00
2 Ba 0.207 0.207 0.586  0.00
3 Ba 0.793 0.793 0.414  0.00
4 Ba 0.000 0.500 0.000  -0.01
5 Ba 0.500 0.000 0.000  -0.01
6 Ti 0.566 0.566 0.868  0.50
7 Ti 0.434 0.434 0.132  0.50

Total DFT energy (no corrections)   -3.18 eV/atom
Fermi-level density of states   5.01 states/eV/cell